Entry 1:
A relaxed structure of La3Ni7Au2. Source: Alexandria via LeMat-Bulk, functional PBE-GGA.

Lattice parameters (Å, degrees): 9.0274 9.0274 9.0274 33.84 33.84 33.84
Sites, in units of the cell vectors:
1 La 0.0000 0.0000 0.0000
2 La 0.1391 0.1391 0.1391
3 La 0.8609 0.8609 0.8609
4 Ni 0.0880 0.5860 0.5860
5 Ni 0.4140 0.4140 0.9120
6 Ni 0.4140 0.9120 0.4140
7 Ni 0.5000 0.5000 0.5000
8 Ni 0.5860 0.0880 0.5860
9 Ni 0.5860 0.5860 0.0880
10 Ni 0.9120 0.4140 0.4140
11 Au 0.3330 0.3330 0.3330
12 Au 0.6670 0.6670 0.6670

Output
**Energy of formation**: -8.6 kcal/mol of atoms
**Fermi-level density of states**: 8.0 states/eV/f.u.
**Size of the total moment**: 0.00 μB per cell

***

Entry 2:
A relaxed structure of Li7LaMg5. Source: Alexandria via LeMat-Bulk, functional PBE-GGA.

Lattice parameters (Å, degrees): 7.7303 7.7303 7.7303 134.94 97.22 99.67
Sites, in units of the cell vectors:
1 Li 0.0000 0.0000 0.0000
2 Li 0.0029 0.6461 0.3568
3 Li 0.2892 0.6461 0.6432
4 Li 0.2962 0.2962 0.0000
5 Li 0.4225 0.1439 0.2787
6 Li 0.8514 0.3514 0.5000
7 Li 0.8652 0.1439 0.7213
8 La 0.6461 0.6461 0.0000
9 Mg 0.1392 0.1449 0.4955
10 Mg 0.1392 0.6437 0.9944
11 Mg 0.4429 0.9429 0.5000
12 Mg 0.6494 0.1449 0.0056
13 Mg 0.6494 0.6437 0.5045

Output
**Energy of formation**: -0.2 kcal/mol of atoms
**Fermi-level density of states**: 7.4 states/eV/f.u.
**Size of the total moment**: 0.00 μB per cell

***

Entry 3:
A relaxed structure of LiNpP2. Source: Alexandria via LeMat-Bulk, functional PBE-GGA.

Lattice parameters (Å, degrees): 4.9142 4.9142 4.9142 51.97 51.97 51.97
Sites, in units of the cell vectors:
1 Li 0.0000 0.0000 0.0000
2 Np 0.5000 0.5000 0.5000
3 P 0.2568 0.2568 0.2568
4 P 0.7432 0.7432 0.7432

Output
**Energy of formation**: -12.3 kcal/mol of atoms
**Fermi-level density of states**: 9.7 states/eV/f.u.
**Energy above the lowest structure with this stoichiometry**: 0.63 eV/f.u.
**Size of the total moment**: 2.44 μB per cell

***

Entry 4:
A relaxed structure of KCl. Source: Alexandria via LeMat-Bulk, functional PBE-GGA.

Lattice parameters (Å, degrees): 8.2235 8.2235 8.2235 37.37 37.37 37.37
Sites, in units of the cell vectors:
1 K 0.2336 0.2336 0.2336
2 K 0.7664 0.7664 0.7664
3 Cl 0.0966 0.0966 0.0966
4 Cl 0.9034 0.9034 0.9034

Output
**Formation energy from raw total energies**: -1.830 eV per atom
**Fermi-level density of states**: 0.0 states/eV/f.u.
**Size of the total moment**: 0.14 μB per cell

***

Entry 5:
A relaxed structure of YInPb. Source: Alexandria via LeMat-Bulk, functional PBE-GGA.

Lattice parameters (Å, degrees): 5.1478 5.1478 5.1478 60.00 60.00 60.00
Sites, in units of the cell vectors:
1 Y 0.0000 0.0000 0.0000
2 In 0.2500 0.2500 0.2500
3 Pb 0.5000 0.5000 0.5000

Output
**Energy of formation**: -1.1 kcal/mol of atoms
**Fermi-level density of states**: 2.1 states/eV/f.u.
**Energy above the lowest structure with this stoichiometry**: 1.04 eV/f.u.
**Size of the total moment**: 0.00 μB per cell

***

Entry 6:
A relaxed structure of LiScAu2. Source: Alexandria via LeMat-Bulk, functional PBE-GGA.

Lattice parameters (Å, degrees): 3.2712 3.3425 6.4461 90.00 90.44 90.00
Sites, in units of the cell vectors:
1 Li 0.0000 0.0000 0.0000
2 Sc 0.0000 0.0000 0.5000
3 Au 0.4975 0.5000 0.2344
4 Au 0.5025 0.5000 0.7656

Output
**Energy of formation**: -15.8 kcal/mol of atoms
**Fermi-level density of states**: 1.9 states/eV/f.u.
**Energy above the lowest structure with this stoichiometry**: 0.01 eV/f.u.
**Size of the total moment**: 0.00 μB per cell

***

Entry 7:
A relaxed structure of RbSnI2Cl. Source: Alexandria via LeMat-Bulk, functional PBE-GGA.

Lattice parameters (Å, degrees): 6.3033 6.3033 5.5346 90.00 90.00 90.00
Sites, in units of the cell vectors:
1 Rb 0.0000 0.0000 0.0000
2 Sn 0.5000 0.5000 0.5000
3 I 0.0000 0.5000 0.5000
4 I 0.5000 0.0000 0.5000
5 Cl 0.5000 0.5000 0.0000

Output
**Formation energy from raw total energies**: -1.045 eV per atom
**Fermi-level density of states**: 0.0 states/eV/f.u.
**Energy above the lowest structure with this stoichiometry**: 0.05 eV/f.u.
**Size of the total moment**: 0.00 μB per cell

***

Entry 8:
A relaxed structure of TaRu2. Source: Alexandria via LeMat-Bulk, functional PBE-GGA.

Lattice parameters (Å, degrees): 8.9271 8.9271 8.9271 161.35 153.97 32.22
Sites, in units of the cell vectors:
1 Ta 0.3748 0.1248 0.2500
2 Ta 0.6252 0.8752 0.7500
3 Ru 0.0614 0.3114 0.7500
4 Ru 0.2125 0.4625 0.7500
5 Ru 0.7875 0.5375 0.2500
6 Ru 0.9386 0.6886 0.2500

Output
**Energy of formation**: 3.8 kcal/mol of atoms
**Fermi-level density of states**: 3.3 states/eV/f.u.
**Size of the total moment**: 0.00 μB per cell

***

Entry 9:
A relaxed structure of LiNi3Cl. Source: Alexandria via LeMat-Bulk, functional PBE-GGA.

Lattice parameters (Å, degrees): 4.1468 4.1468 4.1468 90.00 90.00 90.00
Sites, in units of the cell vectors:
1 Li 0.0000 0.0000 0.0000
2 Ni 0.0000 0.5000 0.5000
3 Ni 0.5000 0.0000 0.5000
4 Ni 0.5000 0.5000 0.0000
5 Cl 0.5000 0.5000 0.5000

Output
**Formation energy from raw total energies**: 0.388 eV per atom
**Fermi-level density of states**: 0.1 states/eV/f.u.
**Energy above the lowest structure with this stoichiometry**: 0.00 eV/f.u.
**Size of the total moment**: 0.00 μB per cell

***

Entry 10:
A relaxed structure of LaV2HW. Source: Alexandria via LeMat-Bulk, functional PBE-GGA.

Lattice parameters (Å, degrees): 4.6870 4.6870 3.5499 90.00 90.00 90.00
Sites, in units of the cell vectors:
1 La 0.0000 0.0000 0.0000
2 V 0.0000 0.5000 0.5000
3 V 0.5000 0.0000 0.5000
4 H 0.5000 0.5000 0.5000
5 W 0.5000 0.5000 0.0000

Output
**Fermi-level density of states**: 5.7 states/eV/f.u.
**Calculated total energy**: -0.2678 Ha/atom
**Size of the total moment**: 2.75 μB per cell

***

Entry 11:
A relaxed structure of Sc5Al. Source: Alexandria via LeMat-Bulk, functional PBE-GGA.

Lattice parameters (Å, degrees): 3.2446 3.2446 13.0157 90.00 90.00 90.00
Sites, in units of the cell vectors:
1 Sc 0.0000 0.0000 0.0000
2 Sc 0.0000 0.0000 0.3565
3 Sc 0.0000 0.0000 0.6435
4 Sc 0.5000 0.5000 0.1774
5 Sc 0.5000 0.5000 0.8226
6 Al 0.5000 0.5000 0.5000

Output
**Energy of formation**: -3.1 kcal/mol of atoms
**Fermi-level density of states**: 8.0 states/eV/f.u.
**Energy above the lowest structure with this stoichiometry**: 0.05 eV/f.u.
**Size of the total moment**: 0.00 μB per cell

***

Entry 12:
A relaxed structure of Mg2PaPb. Source: Alexandria via LeMat-Bulk, functional PBE-GGA.

Lattice parameters (Å, degrees): 4.5741 4.5741 4.8583 90.00 90.00 90.00
Sites, in units of the cell vectors:
1 Mg 0.0000 0.5000 0.0000
2 Mg 0.5000 0.0000 0.0000
3 Pa 0.0000 0.0000 0.5000
4 Pb 0.5000 0.5000 0.5000

Output
**Energy of formation**: 2.0 kcal/mol of atoms
**Fermi-level density of states**: 6.2 states/eV/f.u.
**Energy above the lowest structure with this stoichiometry**: 0.00 eV/f.u.
**Size of the total moment**: 0.82 μB per cell